# 1
La2Tb | PBE-GGA | relaxed

abc: 8.1816 8.1816 8.1816
angles: 153.85 153.85 37.32
With the nearest neighbours (Å) after each atom.
Element x y z (fractional)
La1 0.1643 0.1643 0.0000  4 Tb 3.65, 8 La 3.70-3.73
La2 0.8357 0.8357 0.0000  4 Tb 3.65, 8 La 3.70-3.73
Tb1 0.5000 0.5000 0.0000  8 La 3.65, 4 Tb 3.70

Computed properties:
relative energy among the computed polymorphs: 0.003 eV per atom
E_form: 0.03 eV per atom
symmetry: No. 139

# 2
PaAs2Pd2Rh | PBE-GGA | relaxed

abc: 3.9086 7.9050 6.9986
angles: 90.00 90.00 90.00
With the nearest neighbours (Å) after each atom.
Element x y z (fractional)
Pa1 0.0000 0.0829 0.0000  4 Rh 2.88-3.09, 5 As 2.89-3.10, 1 Pd 3.13
Pa2 0.0000 0.9171 0.5000  4 Rh 2.88-3.09, 5 As 2.89-3.10, 1 Pd 3.13
As1 0.0000 0.4038 0.7776  4 Pd 2.47-2.61
As2 0.0000 0.5962 0.2776  4 Pd 2.47-2.61
As3 0.5000 0.1591 0.2923  3 Pd 2.51-2.80, 1 Rh 2.55
As4 0.5000 0.8409 0.7923  3 Pd 2.51-2.80, 1 Rh 2.55
Pd1 0.0000 0.3092 0.4419  4 As 2.47-2.54
Pd2 0.0000 0.6908 0.9419  4 As 2.47-2.54
Pd3 0.5000 0.4213 0.0238  3 As 2.61-2.80
Pd4 0.5000 0.5787 0.5238  3 As 2.61-2.80
Rh1 0.5000 0.1557 0.7099  3 As 2.55-2.81
Rh2 0.5000 0.8443 0.2099  3 As 2.55-2.81

Computed properties:
E_form: -0.61 eV per atom
symmetry: No. 26

Q: E_form of number 1 (La2Tb)?
A: 0.03 eV per atom

Q: Which of these has the lowest E_form?
A: PaAs2Pd2Rh

Q: What is the E_form in the second record?
A: -0.61 eV per atom